Compound: PaMn2AlO6
Source: Alexandria via LeMat-Bulk
Functional: PBE+U
Structure: relaxed

a b c (Å): 5.209 5.282 5.591
angles (deg): 62.28 63.84 61.09
Space group P1 (No. 1)
Asymmetric unit:
Pa 0.000 0.000 0.000 [1 per cell]
Mn 0.204 0.197 0.407 [1 per cell]
Mn 0.696 0.699 0.900 [1 per cell]
Al 0.496 0.506 0.498 [1 per cell]
O 0.125 0.775 0.683 [1 per cell]
O 0.312 0.582 0.217 [1 per cell]
O 0.409 0.136 0.685 [1 per cell]
O 0.598 0.870 0.216 [1 per cell]
O 0.747 0.414 0.709 [1 per cell]
O 0.891 0.309 0.216 [1 per cell]

Summary:
Raw total energy: -79.6 eV for the cell shown
Crystal system: triclinic
Theoretical density: 6.728 Mg/m³
Total magnetization: 0.20 μB/atom